# FeB3S (SCAN, PBEsol geometry)
data_FeB3S
_chemical_formula_sum 'Fe1 B3 S1'
_space_group_name_H-M_alt 'P 1'
_space_group_IT_number 1
_space_group_name_Hall 'P 1'
_cell_length_a 3.802
_cell_length_b 3.802
_cell_length_c 3.802
_cell_angle_alpha 90.00
_cell_angle_beta 90.00
_cell_angle_gamma 90.00
loop_
_atom_site_label
_atom_site_type_symbol
_atom_site_fract_x
_atom_site_fract_y
_atom_site_fract_z
Fe1 Fe 0.000 0.000 0.000
B1 B 0.000 0.000 0.500
B2 B 0.000 0.500 0.000
B3 B 0.500 0.000 0.000
S1 S 0.500 0.500 0.500
# Uncorrected formation energy (eV/atom): 1.44



# CdSbMoI2 (SCAN, PBEsol geometry)
data_CdSbMoI2
_chemical_formula_sum 'Cd1 Sb1 Mo1 I2'
_space_group_name_H-M_alt 'P 1'
_space_group_IT_number 1
_space_group_name_Hall 'P 1'
_cell_length_a 5.633
_cell_length_b 5.633
_cell_length_c 5.535
_cell_angle_alpha 90.00
_cell_angle_beta 90.00
_cell_angle_gamma 90.00
loop_
_atom_site_label
_atom_site_type_symbol
_atom_site_fract_x
_atom_site_fract_y
_atom_site_fract_z
Cd1 Cd 0.000 0.000 0.000
Sb1 Sb 0.000 0.000 0.500
Mo1 Mo 0.500 0.500 0.500
I1 I 0.000 0.500 0.000
I2 I 0.500 0.000 0.000
# Uncorrected formation energy (eV/atom): 1.03



# Tl2Hg (SCAN, PBEsol geometry)
data_Tl2Hg
_chemical_formula_sum 'Tl4 Hg2'
_space_group_name_H-M_alt 'P 1'
_space_group_IT_number 1
_space_group_name_Hall 'P 1'
_cell_length_a 6.653
_cell_length_b 6.653
_cell_length_c 7.253
_cell_angle_alpha 104.89
_cell_angle_beta 104.89
_cell_angle_gamma 31.23
loop_
_atom_site_label
_atom_site_type_symbol
_atom_site_fract_x
_atom_site_fract_y
_atom_site_fract_z
Tl1 Tl 0.000 0.000 0.000
Tl2 Tl 0.001 0.001 0.501
Tl3 Tl 0.323 0.323 0.676
Tl4 Tl 0.678 0.678 0.324
Hg1 Hg 0.336 0.336 0.159
Hg2 Hg 0.665 0.665 0.843
# Formation enthalpy at 0 K (eV per atom): 0.01
# Energy relative to the lowest polymorph listed for this composition (eV/atom): 0.0176



# Co3P2 (SCAN, PBEsol geometry)
data_Co3P2
_chemical_formula_sum 'Co3 P2'
_space_group_name_H-M_alt 'P 1'
_space_group_IT_number 1
_space_group_name_Hall 'P 1'
_cell_length_a 5.053
_cell_length_b 5.053
_cell_length_c 5.053
_cell_angle_alpha 42.26
_cell_angle_beta 42.26
_cell_angle_gamma 42.26
loop_
_atom_site_label
_atom_site_type_symbol
_atom_site_fract_x
_atom_site_fract_y
_atom_site_fract_z
Co1 Co 0.000 0.000 0.000
Co2 Co 0.225 0.225 0.225
Co3 Co 0.775 0.775 0.775
P1 P 0.407 0.407 0.407
P2 P 0.593 0.593 0.593
# Formation enthalpy at 0 K (eV per atom): -0.15



# HgPb2Au (SCAN, PBEsol geometry)
data_HgPb2Au
_chemical_formula_sum 'Hg1 Pb2 Au1'
_space_group_name_H-M_alt 'P 1'
_space_group_IT_number 1
_space_group_name_Hall 'P 1'
_cell_length_a 5.154
_cell_length_b 5.154
_cell_length_c 3.654
_cell_angle_alpha 90.00
_cell_angle_beta 90.00
_cell_angle_gamma 90.00
loop_
_atom_site_label
_atom_site_type_symbol
_atom_site_fract_x
_atom_site_fract_y
_atom_site_fract_z
Hg1 Hg 0.000 0.000 0.000
Pb1 Pb 0.000 0.500 0.500
Pb2 Pb 0.500 0.000 0.500
Au1 Au 0.500 0.500 0.000
# Formation enthalpy at 0 K (eV per atom): 0.06
# Energy relative to the lowest polymorph listed for this composition (eV/atom): 0.1005



# SrAl4Fe (SCAN, PBEsol geometry)
data_SrAl4Fe
_chemical_formula_sum 'Sr1 Al4 Fe1'
_space_group_name_H-M_alt 'P 1'
_space_group_IT_number 1
_space_group_name_Hall 'P 1'
_cell_length_a 5.423
_cell_length_b 5.423
_cell_length_c 5.423
_cell_angle_alpha 60.00
_cell_angle_beta 60.00
_cell_angle_gamma 60.00
loop_
_atom_site_label
_atom_site_type_symbol
_atom_site_fract_x
_atom_site_fract_y
_atom_site_fract_z
Sr1 Sr 0.000 0.000 0.000
Al1 Al 0.375 0.375 0.375
Al2 Al 0.375 0.375 0.874
Al3 Al 0.375 0.874 0.375
Al4 Al 0.874 0.375 0.375
Fe1 Fe 0.750 0.750 0.750
# Formation enthalpy at 0 K (eV per atom): 0.15



# ErSeI (SCAN, PBEsol geometry)
data_ErSeI
_chemical_formula_sum 'Er2 Se2 I2'
_space_group_name_H-M_alt 'P 1'
_space_group_IT_number 1
_space_group_name_Hall 'P 1'
_cell_length_a 4.113
_cell_length_b 5.542
_cell_length_c 9.136
_cell_angle_alpha 90.00
_cell_angle_beta 90.00
_cell_angle_gamma 90.00
loop_
_atom_site_label
_atom_site_type_symbol
_atom_site_fract_x
_atom_site_fract_y
_atom_site_fract_z
Er1 Er 0.250 0.250 0.120
Er2 Er 0.750 0.750 0.880
Se1 Se 0.250 0.750 0.089
Se2 Se 0.750 0.250 0.911
I1 I 0.250 0.750 0.643
I2 I 0.750 0.250 0.357
# Uncorrected formation energy (eV/atom): -1.85



# AgTeWI2 (SCAN, PBEsol geometry)
data_AgTeWI2
_chemical_formula_sum 'Ag1 Te1 W1 I2'
_space_group_name_H-M_alt 'P 1'
_space_group_IT_number 1
_space_group_name_Hall 'P 1'
_cell_length_a 5.501
_cell_length_b 5.501
_cell_length_c 5.151
_cell_angle_alpha 90.00
_cell_angle_beta 90.00
_cell_angle_gamma 90.00
loop_
_atom_site_label
_atom_site_type_symbol
_atom_site_fract_x
_atom_site_fract_y
_atom_site_fract_z
Ag1 Ag 0.000 0.000 0.000
Te1 Te 0.500 0.500 0.000
W1 W 0.500 0.500 0.500
I1 I 0.000 0.500 0.500
I2 I 0.500 0.000 0.500
# Uncorrected formation energy (eV/atom): 0.80



# MgOs2 (SCAN, PBEsol geometry)
data_MgOs2
_chemical_formula_sum 'Mg2 Os4'
_space_group_name_H-M_alt 'P 1'
_space_group_IT_number 1
_space_group_name_Hall 'P 1'
_cell_length_a 5.269
_cell_length_b 5.269
_cell_length_c 6.518
_cell_angle_alpha 104.48
_cell_angle_beta 104.48
_cell_angle_gamma 30.30
loop_
_atom_site_label
_atom_site_type_symbol
_atom_site_fract_x
_atom_site_fract_y
_atom_site_fract_z
Mg1 Mg 0.000 0.000 0.000
Mg2 Mg 0.658 0.658 0.354
Os1 Os 0.284 0.284 0.084
Os2 Os 0.331 0.331 0.692
Os3 Os 0.620 0.620 0.733
Os4 Os 0.931 0.931 0.423
# Formation enthalpy at 0 K (eV per atom): 0.16



# SiHg2Mo (SCAN, PBEsol geometry)
data_SiHg2Mo
_chemical_formula_sum 'Si1 Hg2 Mo1'
_space_group_name_H-M_alt 'P 1'
_space_group_IT_number 1
_space_group_name_Hall 'P 1'
_cell_length_a 5.200
_cell_length_b 5.200
_cell_length_c 5.200
_cell_angle_alpha 134.95
_cell_angle_beta 134.95
_cell_angle_gamma 65.61
loop_
_atom_site_label
_atom_site_type_symbol
_atom_site_fract_x
_atom_site_fract_y
_atom_site_fract_z
Si1 Si 0.000 0.000 0.000
Hg1 Hg 0.500 0.500 0.000
Hg2 Hg 0.750 0.250 0.500
Mo1 Mo 0.250 0.750 0.500
# Uncorrected formation energy (eV/atom): 0.62



# CaZnOs (SCAN, PBEsol geometry)
data_CaZnOs
_chemical_formula_sum 'Ca1 Zn1 Os1'
_space_group_name_H-M_alt 'P 1'
_space_group_IT_number 1
_space_group_name_Hall 'P 1'
_cell_length_a 6.653
_cell_length_b 6.653
_cell_length_c 6.653
_cell_angle_alpha 155.15
_cell_angle_beta 155.15
_cell_angle_gamma 35.42
loop_
_atom_site_label
_atom_site_type_symbol
_atom_site_fract_x
_atom_site_fract_y
_atom_site_fract_z
Ca1 Ca 0.000 0.000 0.000
Zn1 Zn 0.310 0.310 0.000
Os1 Os 0.675 0.675 0.000
# Formation enthalpy at 0 K (eV per atom): 0.41



# CsCaI2N (SCAN, PBEsol geometry)
data_CsCaI2N
_chemical_formula_sum 'Cs1 Ca1 I2 N1'
_space_group_name_H-M_alt 'P 1'
_space_group_IT_number 1
_space_group_name_Hall 'P 1'
_cell_length_a 6.663
_cell_length_b 6.663
_cell_length_c 4.471
_cell_angle_alpha 90.00
_cell_angle_beta 90.00
_cell_angle_gamma 90.00
loop_
_atom_site_label
_atom_site_type_symbol
_atom_site_fract_x
_atom_site_fract_y
_atom_site_fract_z
Cs1 Cs 0.000 0.000 0.000
Ca1 Ca 0.500 0.500 0.500
I1 I 0.000 0.500 0.000
I2 I 0.500 0.000 0.000
N1 N 0.000 0.000 0.500
# Uncorrected formation energy (eV/atom): 0.37



# Ni4As (SCAN, PBEsol geometry)
data_Ni4As
_chemical_formula_sum 'Ni4 As1'
_space_group_name_H-M_alt 'P 1'
_space_group_IT_number 1
_space_group_name_Hall 'P 1'
_cell_length_a 4.272
_cell_length_b 4.272
_cell_length_c 4.272
_cell_angle_alpha 100.53
_cell_angle_beta 100.53
_cell_angle_gamma 129.37
loop_
_atom_site_label
_atom_site_type_symbol
_atom_site_fract_x
_atom_site_fract_y
_atom_site_fract_z
Ni1 Ni 0.106 0.695 0.801
Ni2 Ni 0.305 0.106 0.411
Ni3 Ni 0.695 0.894 0.589
Ni4 Ni 0.894 0.305 0.199
As1 As 0.500 0.500 0.000
# Formation enthalpy at 0 K (eV per atom): -0.09



# GaS2F (SCAN, PBEsol geometry)
data_GaS2F
_chemical_formula_sum 'Ga2 S4 F2'
_space_group_name_H-M_alt 'P 1'
_space_group_IT_number 1
_space_group_name_Hall 'P 1'
_cell_length_a 6.366
_cell_length_b 6.366
_cell_length_c 6.366
_cell_angle_alpha 126.58
_cell_angle_beta 126.58
_cell_angle_gamma 78.93
loop_
_atom_site_label
_atom_site_type_symbol
_atom_site_fract_x
_atom_site_fract_y
_atom_site_fract_z
Ga1 Ga 0.000 0.000 0.000
Ga2 Ga 0.750 0.250 0.500
S1 S 0.100 0.625 0.975
S2 S 0.375 0.350 0.475
S3 S 0.650 0.125 0.025
S4 S 0.875 0.900 0.525
F1 F 0.250 0.750 0.500
F2 F 0.500 0.500 0.000
# Uncorrected formation energy (eV/atom): -0.23
# Energy relative to the lowest polymorph listed for this composition (eV/atom): 0.0000



# ZrTaF3 (SCAN, PBEsol geometry)
data_ZrTaF3
_chemical_formula_sum 'Zr1 Ta1 F3'
_space_group_name_H-M_alt 'P 1'
_space_group_IT_number 1
_space_group_name_Hall 'P 1'
_cell_length_a 4.299
_cell_length_b 4.299
_cell_length_c 4.299
_cell_angle_alpha 90.00
_cell_angle_beta 90.00
_cell_angle_gamma 90.00
loop_
_atom_site_label
_atom_site_type_symbol
_atom_site_fract_x
_atom_site_fract_y
_atom_site_fract_z
Zr1 Zr 0.000 0.000 0.000
Ta1 Ta 0.500 0.500 0.500
F1 F 0.000 0.000 0.500
F2 F 0.000 0.500 0.000
F3 F 0.500 0.000 0.000
# Uncorrected formation energy (eV/atom): -1.27



# Ag2SbPb (SCAN, PBEsol geometry)
data_Ag2SbPb
_chemical_formula_sum 'Ag2 Sb1 Pb1'
_space_group_name_H-M_alt 'P 1'
_space_group_IT_number 1
_space_group_name_Hall 'P 1'
_cell_length_a 5.047
_cell_length_b 5.047
_cell_length_c 5.047
_cell_angle_alpha 60.00
_cell_angle_beta 60.00
_cell_angle_gamma 60.00
loop_
_atom_site_label
_atom_site_type_symbol
_atom_site_fract_x
_atom_site_fract_y
_atom_site_fract_z
Ag1 Ag 0.000 0.000 0.000
Ag2 Ag 0.250 0.250 0.250
Sb1 Sb 0.500 0.500 0.500
Pb1 Pb 0.750 0.750 0.750
# Uncorrected formation energy (eV/atom): 0.24



# CrMo3O (SCAN, PBEsol geometry)
data_CrMo3O
_chemical_formula_sum 'Cr1 Mo3 O1'
_space_group_name_H-M_alt 'P 1'
_space_group_IT_number 1
_space_group_name_Hall 'P 1'
_cell_length_a 4.369
_cell_length_b 4.369
_cell_length_c 4.369
_cell_angle_alpha 90.00
_cell_angle_beta 90.00
_cell_angle_gamma 90.00
loop_
_atom_site_label
_atom_site_type_symbol
_atom_site_fract_x
_atom_site_fract_y
_atom_site_fract_z
Cr1 Cr 0.000 0.000 0.000
Mo1 Mo 0.000 0.000 0.500
Mo2 Mo 0.000 0.500 0.000
Mo3 Mo 0.500 0.000 0.000
O1 O 0.500 0.500 0.500
# Uncorrected formation energy (eV/atom): 1.82



# BOF2 (SCAN, PBEsol geometry)
data_BOF2
_chemical_formula_sum 'B1 O1 F2'
_space_group_name_H-M_alt 'P 1'
_space_group_IT_number 1
_space_group_name_Hall 'P 1'
_cell_length_a 3.699
_cell_length_b 3.699
_cell_length_c 3.699
_cell_angle_alpha 60.00
_cell_angle_beta 60.00
_cell_angle_gamma 60.00
loop_
_atom_site_label
_atom_site_type_symbol
_atom_site_fract_x
_atom_site_fract_y
_atom_site_fract_z
B1 B 0.000 0.000 0.000
O1 O 0.500 0.500 0.500
F1 F 0.250 0.250 0.250
F2 F 0.750 0.750 0.750
# Uncorrected formation energy (eV/atom): 0.95



# Ti3In4 (SCAN, PBEsol geometry)
data_Ti3In4
_chemical_formula_sum 'Ti6 In8'
_space_group_name_H-M_alt 'P 1'
_space_group_IT_number 1
_space_group_name_Hall 'P 1'
_cell_length_a 9.812
_cell_length_b 9.812
_cell_length_c 2.932
_cell_angle_alpha 90.00
_cell_angle_beta 90.00
_cell_angle_gamma 90.00
loop_
_atom_site_label
_atom_site_type_symbol
_atom_site_fract_x
_atom_site_fract_y
_atom_site_fract_z
Ti1 Ti 0.000 0.500 0.000
Ti2 Ti 0.176 0.324 0.500
Ti3 Ti 0.324 0.824 0.500
Ti4 Ti 0.500 0.000 0.000
Ti5 Ti 0.676 0.176 0.500
Ti6 Ti 0.824 0.676 0.500
In1 In 0.060 0.789 0.000
In2 In 0.211 0.060 0.000
In3 In 0.289 0.560 0.000
In4 In 0.440 0.289 0.000
In5 In 0.560 0.711 0.000
In6 In 0.711 0.440 0.000
In7 In 0.789 0.940 0.000
In8 In 0.940 0.211 0.000
# Formation enthalpy at 0 K (eV per atom): -0.14



# LiTlFe2 (SCAN, PBEsol geometry)
data_LiTlFe2
_chemical_formula_sum 'Li1 Tl1 Fe2'
_space_group_name_H-M_alt 'P 1'
_space_group_IT_number 1
_space_group_name_Hall 'P 1'
_cell_length_a 5.315
_cell_length_b 5.315
_cell_length_c 2.828
_cell_angle_alpha 104.01
_cell_angle_beta 104.01
_cell_angle_gamma 122.73
loop_
_atom_site_label
_atom_site_type_symbol
_atom_site_fract_x
_atom_site_fract_y
_atom_site_fract_z
Li1 Li 0.000 0.000 0.000
Tl1 Tl 0.500 0.500 0.000
Fe1 Fe 0.000 0.500 0.500
Fe2 Fe 0.500 0.000 0.500
# Formation enthalpy at 0 K (eV per atom): 0.33